Entry from Alexandria via LeMat-Bulk: crystalline FeTe2Br at its relaxed geometry (PBE-GGA).

Unit cell a=3.9029 b=3.9029 c=24.3218 alpha=90.00 beta=90.00 gamma=120.00
Space group R-3m (No. 166, hexagonal axes)
Inequivalent atoms, fractional coordinates:
Fe 0.0000 0.0000 0.0000
Te 0.0000 0.0000 0.3840
Br 0.0000 0.0000 0.5000

The calculated volume is 26.737 A^3/atom. The raw formation energy comes out at -34 kJ/mol of formula units. As for the polymorph energy (0 for the lowest one): 0 meV per atom. The calculation puts the total magnetic moment at 0.744 μB/cell.